# 1
A plane-wave DFT calculation with PBE was carried out for an optimized crystal structure of Zn3ReN.

Cell lengths 4.8824, 4.8824, 4.8824 Å; angles 90.00, 90.00, 90.00 degrees
Last column: nearest neighbours and their distance in Å.
Fractional coordinates of all 5 atoms:
Zn 0.5000 0.0000 0.0000  2 Re 2.44
Zn 0.0000 0.0000 0.5000  2 Re 2.44
Zn 0.0000 0.5000 0.0000  2 Re 2.44
N 0.5000 0.5000 0.5000  12 Zn 3.45
Re 0.0000 0.0000 0.0000  6 Zn 2.44

Summary:
V ... 23.278 A^3/atom
ΔE to the lowest computed polymorph ... 1.238 eV/atom
Total magnetic moment ... 0.39 μB/atom

# 2
A plane-wave DFT calculation with PBE was carried out for an optimized crystal structure of ZrRe2N.

Cell lengths 7.0105, 7.0105, 5.5049 Å; angles 50.45, 50.45, 90.00 degrees
Last column: nearest neighbours and their distance in Å.
Fractional coordinates of all 8 atoms:
N 0.2500 0.7500 0.5000  4 Re 2.07
N 0.5000 0.5000 0.0000  4 Re 2.07
Re 0.8750 0.7584 0.7500  2 N 2.07
Re 0.5084 0.1250 0.2500  2 N 2.07
Re 0.3750 0.4916 0.7500  2 N 2.07
Re 0.2416 0.6250 0.2500  2 N 2.07
Zr 0.0000 0.0000 0.0000  2 N 2.39, 4 Re 2.68
Zr 0.7500 0.2500 0.5000  2 N 2.39, 4 Re 2.68

Summary:
V ... 14.706 A^3/atom
Total DFT energy (no corrections) ... -10.42 eV/atom
Total magnetic moment ... 0.00 μB/atom

# 3
A plane-wave DFT calculation with PBE was carried out for an optimized crystal structure of RhN.

Cell lengths 5.6818, 5.6818, 5.6818 Å; angles 90.00, 90.00, 90.00 degrees
Last column: nearest neighbours and their distance in Å.
Fractional coordinates of all 12 atoms:
Rh 0.5000 0.0000 0.7500  4 N 2.01
Rh 0.0000 0.2500 0.5000  4 N 2.01
Rh 0.2500 0.5000 0.0000  4 N 2.01
Rh 0.7500 0.5000 0.0000  4 N 2.01
Rh 0.5000 0.0000 0.2500  4 N 2.01
Rh 0.0000 0.7500 0.5000  4 N 2.01
N 0.2500 0.0000 0.5000  4 Rh 2.01
N 0.5000 0.2500 0.0000  4 Rh 2.01
N 0.0000 0.5000 0.2500  4 Rh 2.01
N 0.7500 0.0000 0.5000  4 Rh 2.01
N 0.0000 0.5000 0.7500  4 Rh 2.01
N 0.5000 0.7500 0.0000  4 Rh 2.01

Summary:
V ... 15.285 A^3/atom
ΔE to the lowest computed polymorph ... 0.427 eV/atom
Total magnetic moment ... 0.00 μB/atom

# 4
A plane-wave DFT calculation with PBE was carried out for an optimized crystal structure of RhN.

Cell lengths 2.9802, 2.9802, 5.8735 Å; angles 90.00, 90.00, 120.00 degrees
Last column: nearest neighbours and their distance in Å.
Fractional coordinates of all 4 atoms:
Rh 0.3333 0.6667 0.2943  3 N 2.02
Rh 0.6667 0.3333 0.7057  3 N 2.02
N 0.0000 0.0000 0.1128  1 N 1.32
N 0.0000 0.0000 0.8872  1 N 1.32

Summary:
V ... 11.295 A^3/atom
ΔE to the lowest computed polymorph ... 0.030 eV/atom
Total magnetic moment ... 0.00 μB/atom

# 5
A plane-wave DFT calculation with PBE was carried out for an optimized crystal structure of RhN.

Cell lengths 7.6206, 3.1812, 4.2658 Å; angles 90.00, 90.00, 90.00 degrees
Last column: nearest neighbours and their distance in Å.
Fractional coordinates of all 8 atoms:
Rh 0.1952 0.5000 0.6819  3 N 2.02-2.06
Rh 0.8048 0.5000 0.6819  3 N 2.02-2.06
Rh 0.3048 0.0000 0.1819  3 N 2.02-2.06
Rh 0.6952 0.0000 0.1819  3 N 2.02-2.06
N 0.5852 0.5000 0.9652  1 N 1.30
N 0.9148 0.0000 0.4652  1 N 1.30
N 0.0852 0.0000 0.4652  1 N 1.30
N 0.4148 0.5000 0.9652  1 N 1.30

Summary:
V ... 12.926 A^3/atom
ΔE to the lowest computed polymorph ... 0.152 eV/atom
Total magnetic moment ... 0.00 μB/atom

# 6
A plane-wave DFT calculation with PBE was carried out for an optimized crystal structure of RhN.

Cell lengths 3.0541, 3.0541, 5.1589 Å; angles 90.00, 90.00, 120.00 degrees
Last column: nearest neighbours and their distance in Å.
Fractional coordinates of all 4 atoms:
Rh 0.0000 0.0000 0.5000  6 N 2.18
Rh 0.0000 0.0000 0.0000  6 N 2.18
N 0.3333 0.6667 0.2500  6 Rh 2.18
N 0.6667 0.3333 0.7500  6 Rh 2.18

Summary:
V ... 10.418 A^3/atom
ΔE to the lowest computed polymorph ... 0.447 eV/atom
Total magnetic moment ... 0.00 μB/atom

# 7
A plane-wave DFT calculation with PBE was carried out for an optimized crystal structure of RhN.

Cell lengths 8.2158, 8.2158, 2.8769 Å; angles 90.00, 90.00, 90.00 degrees
Last column: nearest neighbours and their distance in Å.
Fractional coordinates of all 16 atoms:
Rh 0.5791 0.7223 0.0000  4 N 1.97-2.06
Rh 0.2777 0.5791 0.0000  4 N 1.97-2.06
Rh 0.0791 0.2223 0.5000  4 N 1.97-2.06
Rh 0.2223 0.9209 0.5000  4 N 1.97-2.06
Rh 0.4209 0.2777 0.0000  4 N 1.97-2.06
Rh 0.9209 0.7777 0.5000  4 N 1.97-2.06
Rh 0.7223 0.4209 0.0000  4 N 1.97-2.06
Rh 0.7777 0.0791 0.5000  4 N 1.97-2.06
N 0.1831 0.3588 0.0000  4 Rh 1.97-2.06
N 0.3169 0.1412 0.5000  4 Rh 1.97-2.06
N 0.1412 0.6831 0.5000  4 Rh 1.97-2.06
N 0.6831 0.8588 0.5000  4 Rh 1.97-2.06
N 0.6412 0.1831 0.0000  4 Rh 1.97-2.06
N 0.8588 0.3169 0.5000  4 Rh 1.97-2.06
N 0.3588 0.8169 0.0000  4 Rh 1.97-2.06
N 0.8169 0.6412 0.0000  4 Rh 1.97-2.06

Summary:
V ... 12.137 A^3/atom
ΔE to the lowest computed polymorph ... 0.211 eV/atom
Total magnetic moment ... 0.00 μB/atom

# 8
A plane-wave DFT calculation with PBE was carried out for an optimized crystal structure of RhN.

Cell lengths 3.1485, 3.1485, 5.7828 Å; angles 90.00, 90.00, 120.00 degrees
Last column: nearest neighbours and their distance in Å.
Fractional coordinates of all 4 atoms:
Rh 0.3333 0.6667 0.7232  4 N 1.98-2.11
Rh 0.6667 0.3333 0.2232  4 N 1.98-2.11
N 0.6667 0.3333 0.8588  4 Rh 1.98-2.11
N 0.3333 0.6667 0.3588  4 Rh 1.98-2.11

Summary:
V ... 12.411 A^3/atom
ΔE to the lowest computed polymorph ... 0.216 eV/atom
Total magnetic moment ... 0.00 μB/atom

# 9
A plane-wave DFT calculation with PBE was carried out for an optimized crystal structure of RhN.

Cell lengths 3.2712, 3.2712, 3.2712 Å; angles 60.00, 60.00, 60.00 degrees
Last column: nearest neighbours and their distance in Å.
Fractional coordinates of all 2 atoms:
N 0.2500 0.2500 0.2500  4 Rh 2.00
Rh 0.0000 0.0000 0.0000  4 N 2.00

Summary:
V ... 12.375 A^3/atom
ΔE to the lowest computed polymorph ... 0.166 eV/atom
Total magnetic moment ... 0.00 μB/atom

# 10
A plane-wave DFT calculation with PBE was carried out for an optimized crystal structure of RhN.

Cell lengths 5.3318, 10.7484, 8.9592 Å; angles 90.00, 90.00, 90.00 degrees
Last column: nearest neighbours and their distance in Å.
Fractional coordinates of all 32 atoms:
Rh 0.0000 0.6503 0.5000  4 N 1.93-2.10
Rh 0.0000 0.8497 0.0000  4 N 1.93-2.10
Rh 0.0000 0.3497 0.5000  4 N 1.93-2.10
Rh 0.0000 0.1503 0.0000  4 N 1.93-2.10
Rh 0.7500 0.5997 0.7500  4 N 1.93-2.10
Rh 0.7500 0.4003 0.2500  4 N 1.93-2.10
Rh 0.2500 0.4003 0.7500  4 N 1.93-2.10
Rh 0.7500 0.9003 0.7500  4 N 1.93-2.10
Rh 0.5000 0.8497 0.5000  4 N 1.93-2.10
Rh 0.5000 0.1503 0.5000  4 N 1.93-2.10
Rh 0.5000 0.6503 0.0000  4 N 1.93-2.10
Rh 0.7500 0.0997 0.2500  4 N 1.93-2.10
Rh 0.5000 0.3497 0.0000  4 N 1.93-2.10
Rh 0.2500 0.5997 0.2500  4 N 1.93-2.10
Rh 0.2500 0.9003 0.2500  4 N 1.93-2.10
Rh 0.2500 0.0997 0.7500  4 N 1.93-2.10
N 0.2500 0.2500 0.8995  4 Rh 1.93-2.10
N 0.0000 0.5000 0.3505  4 Rh 1.93-2.10
N 0.7500 0.2500 0.1005  4 Rh 1.93-2.10
N 0.0000 0.0000 0.8505  4 Rh 1.93-2.10
N 0.5000 0.0000 0.3505  4 Rh 1.93-2.10
N 0.2500 0.7500 0.1005  4 Rh 1.93-2.10
N 0.7500 0.7500 0.8995  4 Rh 1.93-2.10
N 0.2500 0.2500 0.6005  4 Rh 1.93-2.10
N 0.5000 0.5000 0.8505  4 Rh 1.93-2.10
N 0.0000 0.5000 0.6495  4 Rh 1.93-2.10
N 0.7500 0.2500 0.3995  4 Rh 1.93-2.10
N 0.2500 0.7500 0.3995  4 Rh 1.93-2.10
N 0.5000 0.5000 0.1495  4 Rh 1.93-2.10
N 0.7500 0.7500 0.6005  4 Rh 1.93-2.10
N 0.0000 0.0000 0.1495  4 Rh 1.93-2.10
N 0.5000 0.0000 0.6495  4 Rh 1.93-2.10

Summary:
V ... 16.045 A^3/atom
ΔE to the lowest computed polymorph ... 0.359 eV/atom
Total magnetic moment ... 0.00 μB/atom

# 11
A plane-wave DFT calculation with PBE was carried out for an optimized crystal structure of RhN.

Cell lengths 2.8327, 7.6556, 5.3197 Å; angles 90.00, 119.47, 90.00 degrees
Last column: nearest neighbours and their distance in Å.
Fractional coordinates of all 8 atoms:
Rh 0.0000 0.2500 0.7500  2 N 2.04
Rh 0.0000 0.2500 0.2500  2 N 2.04
Rh 0.0000 0.7500 0.7500  2 N 2.04
Rh 0.0000 0.7500 0.2500  2 N 2.04
N 0.0183 0.0000 0.1203  1 N 1.23
N 0.9817 0.0000 0.8797  1 N 1.23
N 0.9817 0.5000 0.3797  1 N 1.23
N 0.0183 0.5000 0.6203  1 N 1.23

Summary:
V ... 12.555 A^3/atom
ΔE to the lowest computed polymorph ... 0.144 eV/atom
Total magnetic moment ... 0.00 μB/atom

# 12
A plane-wave DFT calculation with PBE was carried out for an optimized crystal structure of RhN.

Cell lengths 6.7440, 2.7777, 5.2048 Å; angles 90.00, 105.82, 90.00 degrees
Last column: nearest neighbours and their distance in Å.
Fractional coordinates of all 8 atoms:
Rh 0.8234 0.0000 0.1296  2 N 2.05
Rh 0.1766 0.5000 0.3704  2 N 2.05
Rh 0.1766 0.0000 0.8704  2 N 2.05
Rh 0.8234 0.5000 0.6296  2 N 2.05
N 0.4082 0.0000 0.4661  1 N 1.19
N 0.5918 0.0000 0.5339  1 N 1.19
N 0.5918 0.5000 0.0339  1 N 1.19
N 0.4082 0.5000 0.9661  1 N 1.19

Summary:
V ... 11.726 A^3/atom
ΔE to the lowest computed polymorph ... 0.079 eV/atom
Total magnetic moment ... 0.00 μB/atom

# 13
A plane-wave DFT calculation with PBE was carried out for an optimized crystal structure of RhN.

Cell lengths 5.5358, 5.3381, 7.0807 Å; angles 90.00, 90.00, 90.00 degrees
Last column: nearest neighbours and their distance in Å.
Fractional coordinates of all 16 atoms:
Rh 0.7168 0.6343 0.0288  4 N 1.93-2.13
Rh 0.2168 0.8657 0.9712  4 N 1.93-2.13
Rh 0.7832 0.3657 0.5288  4 N 1.93-2.13
Rh 0.1962 0.6123 0.3029  4 N 2.00-2.03
Rh 0.6962 0.8877 0.6971  4 N 2.00-2.03
Rh 0.8038 0.1123 0.1971  4 N 2.00-2.03
Rh 0.3038 0.3877 0.8029  4 N 2.00-2.03
Rh 0.2832 0.1343 0.4712  4 N 1.93-2.13
N 0.8622 0.4766 0.2464  4 Rh 1.93-2.13
N 0.8687 0.9667 0.9411  4 Rh 2.00-2.06
N 0.3622 0.0234 0.7536  4 Rh 1.93-2.13
N 0.6378 0.5234 0.7464  4 Rh 1.93-2.13
N 0.3687 0.5333 0.0589  4 Rh 2.00-2.06
N 0.1313 0.4667 0.5589  4 Rh 2.00-2.06
N 0.1378 0.9766 0.2536  4 Rh 1.93-2.13
N 0.6313 0.0333 0.4411  4 Rh 2.00-2.06

Summary:
V ... 13.077 A^3/atom
ΔE to the lowest computed polymorph ... 0.346 eV/atom
Total magnetic moment ... 0.00 μB/atom

# 14
A plane-wave DFT calculation with PBE was carried out for an optimized crystal structure of RhN.

Cell lengths 9.1708, 9.1708, 3.0431 Å; angles 90.00, 90.00, 90.00 degrees
Last column: nearest neighbours and their distance in Å.
Fractional coordinates of all 16 atoms:
N 0.2635 0.8688 0.5000  3 Rh 1.86-1.94
N 0.8640 0.3939 0.0000  4 Rh 1.96-2.12
N 0.1360 0.6061 0.0000  4 Rh 1.96-2.12
N 0.1312 0.2635 0.5000  3 Rh 1.86-1.94
N 0.8688 0.7365 0.5000  3 Rh 1.86-1.94
N 0.7365 0.1312 0.5000  3 Rh 1.86-1.94
N 0.3939 0.1360 0.0000  4 Rh 1.96-2.12
N 0.6061 0.8640 0.0000  4 Rh 1.96-2.12
Rh 0.3341 0.2566 0.5000  3 N 1.86-1.96
Rh 0.0956 0.3897 0.0000  4 N 1.94-2.12
Rh 0.2566 0.6659 0.5000  3 N 1.86-1.96
Rh 0.6103 0.0956 0.0000  4 N 1.94-2.12
Rh 0.9044 0.6103 0.0000  4 N 1.94-2.12
Rh 0.6659 0.7434 0.5000  3 N 1.86-1.96
Rh 0.3897 0.9044 0.0000  4 N 1.94-2.12
Rh 0.7434 0.3341 0.5000  3 N 1.86-1.96

Summary:
V ... 15.996 A^3/atom
ΔE to the lowest computed polymorph ... 0.292 eV/atom
Total magnetic moment ... 0.00 μB/atom

# 15
A plane-wave DFT calculation with PBE was carried out for an optimized crystal structure of RhN.

Cell lengths 3.0798, 3.0798, 3.0798 Å; angles 60.00, 60.00, 60.00 degrees
Last column: nearest neighbours and their distance in Å.
Fractional coordinates of all 2 atoms:
Rh 0.0000 0.0000 0.0000  6 N 2.18
N 0.5000 0.5000 0.5000  6 Rh 2.18

Summary:
V ... 10.329 A^3/atom
ΔE to the lowest computed polymorph ... 0.622 eV/atom
Total magnetic moment ... 0.11 μB/atom

# 16
A plane-wave DFT calculation with PBE was carried out for an optimized crystal structure of RhN.

Cell lengths 12.0746, 2.8671, 2.8143 Å; angles 90.00, 90.00, 90.00 degrees
Last column: nearest neighbours and their distance in Å.
Fractional coordinates of all 8 atoms:
Rh 0.1673 0.5000 0.0000  2 N 2.00
Rh 0.3327 0.0000 0.5000  2 N 2.00
Rh 0.6673 0.0000 0.5000  2 N 2.00
Rh 0.8327 0.5000 0.0000  2 N 2.00
N 0.0500 0.5000 0.5000  1 N 1.21
N 0.9500 0.5000 0.5000  1 N 1.21
N 0.4500 0.0000 0.0000  1 N 1.21
N 0.5500 0.0000 0.0000  1 N 1.21

Summary:
V ... 12.178 A^3/atom
ΔE to the lowest computed polymorph ... 0.000 eV/atom
Total magnetic moment ... 0.00 μB/atom

# 17
A plane-wave DFT calculation with PBE was carried out for an optimized crystal structure of RhN.

Cell lengths 7.8030, 7.8030, 3.2462 Å; angles 90.00, 90.00, 120.00 degrees
Last column: nearest neighbours and their distance in Å.
Fractional coordinates of all 12 atoms:
Rh 0.6625 0.5540 0.2500  4 N 1.94-2.10
Rh 0.5540 0.8915 0.7500  4 N 1.94-2.10
Rh 0.3375 0.4460 0.7500  4 N 1.94-2.10
Rh 0.4460 0.1085 0.2500  4 N 1.94-2.10
Rh 0.8915 0.3375 0.2500  4 N 1.94-2.10
Rh 0.1085 0.6625 0.7500  4 N 1.94-2.10
N 0.0604 0.3722 0.7500  4 Rh 1.94-2.10
N 0.6882 0.0604 0.2500  4 Rh 1.94-2.10
N 0.3118 0.9396 0.7500  4 Rh 1.94-2.10
N 0.6278 0.6882 0.7500  4 Rh 1.94-2.10
N 0.3722 0.3118 0.2500  4 Rh 1.94-2.10
N 0.9396 0.6278 0.2500  4 Rh 1.94-2.10

Summary:
V ... 14.264 A^3/atom
ΔE to the lowest computed polymorph ... 0.282 eV/atom
Total magnetic moment ... 0.00 μB/atom

# 18
A plane-wave DFT calculation with PBE was carried out for an optimized crystal structure of RhN.

Cell lengths 8.3655, 3.0648, 6.3647 Å; angles 90.00, 90.00, 90.00 degrees
Last column: nearest neighbours and their distance in Å.
Fractional coordinates of all 12 atoms:
N 0.0000 0.9924 0.4251  4 Rh 2.00-2.02
N 0.5000 0.0076 0.9251  4 Rh 2.00-2.02
N 0.7398 0.6063 0.1449  3 Rh 1.94-2.03
N 0.2602 0.6063 0.1449  3 Rh 1.94-2.03
N 0.2398 0.3937 0.6449  3 Rh 1.94-2.03
N 0.7602 0.3937 0.6449  3 Rh 1.94-2.03
Rh 0.7736 0.0996 0.3297  3 N 1.94-2.02
Rh 0.2736 0.9004 0.8297  3 N 1.94-2.02
Rh 0.0000 0.4932 0.6277  4 N 2.00-2.03
Rh 0.7264 0.9004 0.8297  3 N 1.94-2.02
Rh 0.2264 0.0996 0.3297  3 N 1.94-2.02
Rh 0.5000 0.5068 0.1277  4 N 2.00-2.03

Summary:
V ... 13.598 A^3/atom
ΔE to the lowest computed polymorph ... 0.344 eV/atom
Total magnetic moment ... 0.00 μB/atom

# 19
A plane-wave DFT calculation with PBE was carried out for an optimized crystal structure of RhN.

Cell lengths 3.0047, 3.0047, 17.2271 Å; angles 90.00, 90.00, 120.00 degrees
Last column: nearest neighbours and their distance in Å.
Fractional coordinates of all 12 atoms:
Rh 0.6667 0.3333 0.0681  3 N 2.01
Rh 0.6667 0.3333 0.5986  3 N 2.01
Rh 0.0000 0.0000 0.7348  3 N 2.01
Rh 0.3333 0.6667 0.4014  3 N 2.01
Rh 0.3333 0.6667 0.9319  3 N 2.01
Rh 0.0000 0.0000 0.2652  3 N 2.01
N 0.3333 0.6667 0.1272  1 N 1.36
N 0.3333 0.6667 0.2061  1 N 1.36
N 0.6667 0.3333 0.8728  1 N 1.36
N 0.0000 0.0000 0.5395  1 N 1.36
N 0.0000 0.0000 0.4605  1 N 1.36
N 0.6667 0.3333 0.7939  1 N 1.36

Summary:
V ... 11.224 A^3/atom
ΔE to the lowest computed polymorph ... 0.014 eV/atom
Total magnetic moment ... 0.00 μB/atom

# 20
A plane-wave DFT calculation with PBE was carried out for an optimized crystal structure of RhN.

Cell lengths 3.0313, 3.7567, 4.0628 Å; angles 90.00, 90.00, 90.00 degrees
Last column: nearest neighbours and their distance in Å.
Fractional coordinates of all 4 atoms:
Rh 0.0000 0.6633 0.3972  4 N 1.97-2.16
Rh 0.5000 0.3367 0.8972  4 N 1.97-2.16
N 0.0000 0.1903 0.6071  4 Rh 1.97-2.16
N 0.5000 0.8097 0.1071  4 Rh 1.97-2.16

Summary:
V ... 11.567 A^3/atom
ΔE to the lowest computed polymorph ... 0.104 eV/atom
Total magnetic moment ... 0.00 μB/atom